! Zn2In3Cl8 | Alexandria via LeMat-Bulk | PBE | optimized geometry; values from VASP
! Uncorrected energy ... -2.871 eV/atom
! Formation energy without anion corrections ... -0.907 eV/atom
&SYSTEM
  ibrav = 0, nat = 13, ntyp = 3
/
ATOMIC_SPECIES
Zn 65.41 Zn.upf
In 114.82 In.upf
Cl 35.45 Cl.upf
CELL_PARAMETERS angstrom
-3.800 6.239 -0.006
-3.152 2.351 -6.157
-9.251 -1.359 -0.116
ATOMIC_POSITIONS crystal
Zn 0.391 0.391 0.827
Zn 0.609 0.609 0.173
In 0.000 0.000 0.000
In 0.192 0.192 0.424
In 0.808 0.808 0.576
Cl 0.302 0.302 0.095
Cl 0.698 0.698 0.905
Cl 0.246 0.765 0.743
Cl 0.765 0.246 0.743
Cl 0.246 0.246 0.743
Cl 0.235 0.754 0.257
Cl 0.754 0.235 0.257
Cl 0.754 0.754 0.257